The following is a GGA-PBE calculation of a geometry-optimized LiMgTaPt structure, from OQMD via LeMat-Bulk.

Summary:
Total magnetization (Bohr magnetons per cell): 0.00
V (Å³ per cell): 62.6
SG: F-43m
Final energy (eV per atom): -5.748

Unit cell a=4.4580 b=4.4580 c=4.4580 alpha=60.00 beta=60.00 gamma=60.00
Sites, in units of the cell vectors:
1 Li 0.0000 0.0000 0.0000
2 Mg 0.2500 0.2500 0.2500
3 Ta 0.7500 0.7500 0.7500
4 Pt 0.5000 0.5000 0.5000